This record from Alexandria describes an optimized crystal structure of BaAc2BO5. The functional is PBE-GGA.

abc: 7.0767 7.0767 7.3679
angles: 118.70 118.70 90.00
Fractional coordinates of all 18 atoms:
Ac1 0.3237 0.8237 0.0000
Ac2 0.1763 0.3237 0.0000
Ac3 0.8237 0.6763 0.0000
Ac4 0.6763 0.1763 0.0000
O1 0.4574 0.7161 0.6735
O2 0.5000 0.5000 0.0000
O3 0.7161 0.2161 0.6735
O4 0.5426 0.2839 0.3265
O5 0.2839 0.7839 0.3265
O6 0.7839 0.0426 0.3265
O7 0.2161 0.9574 0.6735
O8 0.9574 0.4574 0.6735
O9 0.0000 0.0000 0.0000
O10 0.0426 0.5426 0.3265
B1 0.7500 0.2500 0.5000
B2 0.2500 0.7500 0.5000
Ba1 0.2500 0.2500 0.5000
Ba2 0.7500 0.7500 0.5000

* energy relative to the elements, uncorrected: -62.04 kcal/mol of atoms
* M_tot: 0.0 μB/f.u.
* volume: 270.8 Å³ per cell
* DOS at the Fermi energy: 6.133 states/eV per cell
* symmetry: I4/mcm